(1)
# CdFeCl2 (PBE, relaxed)
data_CdFeCl2
_space_group_name_H-M_alt 'P 1'
_space_group_IT_number 1
_cell_length_a 5.9211
_cell_length_b 5.9211
_cell_length_c 6.1634
_cell_angle_alpha 117.78
_cell_angle_beta 117.78
_cell_angle_gamma 31.56
loop_
_space_group_symop_operation_xyz
'x,y,z'
loop_
_atom_site_label
_atom_site_type_symbol
_atom_site_fract_x
_atom_site_fract_y
_atom_site_fract_z
Cd1 Cd 0.0000 0.0000 0.0000
Fe1 Fe 0.7172 0.7172 0.9906
Cl1 Cl 0.1844 0.1844 0.6821
Cl2 Cl 0.3470 0.3470 0.2985
# - Calculated density: 4.01 g/cm3
# - Uncorrected formation energy: -0.341 eV/atom
# - Polymorph energy (0 for the lowest one): 0.44 eV per formula unit
# - V: 24.74 Å³/atom

=====

(2)
# CdFeCl3 (PBE, relaxed)
data_CdFeCl3
_space_group_name_H-M_alt 'P 1'
_space_group_IT_number 1
_cell_length_a 4.6596
_cell_length_b 4.6596
_cell_length_c 4.6596
_cell_angle_alpha 90.00
_cell_angle_beta 90.00
_cell_angle_gamma 90.00
loop_
_space_group_symop_operation_xyz
'x,y,z'
loop_
_atom_site_label
_atom_site_type_symbol
_atom_site_fract_x
_atom_site_fract_y
_atom_site_fract_z
Cd1 Cd 0.0000 0.0000 0.0000
Fe1 Fe 0.5000 0.5000 0.5000
Cl1 Cl 0.0000 0.5000 0.5000
Cl2 Cl 0.5000 0.0000 0.5000
Cl3 Cl 0.5000 0.5000 0.0000
# - Calculated density: 4.51 g/cm3
# - Uncorrected formation energy: -0.227 eV/atom
# - Polymorph energy (0 for the lowest one): 0.00 eV per formula unit
# - V: 20.23 Å³/atom

=====

(3)
# CdFeCl2 (PBE, relaxed)
data_CdFeCl2
_space_group_name_H-M_alt 'P 1'
_space_group_IT_number 1
_cell_length_a 6.7487
_cell_length_b 6.7487
_cell_length_c 6.7487
_cell_angle_alpha 147.13
_cell_angle_beta 147.13
_cell_angle_gamma 47.18
loop_
_space_group_symop_operation_xyz
'x,y,z'
loop_
_atom_site_label
_atom_site_type_symbol
_atom_site_fract_x
_atom_site_fract_y
_atom_site_fract_z
Cd1 Cd 0.0000 0.0000 0.0000
Fe1 Fe 0.7500 0.2500 0.5000
Cl1 Cl 0.2500 0.7500 0.5000
Cl2 Cl 0.5000 0.5000 0.0000
# - Calculated density: 4.40 g/cm3
# - Uncorrected formation energy: 0.133 eV/atom
# - Polymorph energy (0 for the lowest one): 2.34 eV per formula unit
# - V: 22.55 Å³/atom

=====

(4)
# Cd3FeCl (PBE, relaxed)
data_Cd3FeCl
_space_group_name_H-M_alt 'P 1'
_space_group_IT_number 1
_cell_length_a 5.2894
_cell_length_b 5.2894
_cell_length_c 5.2894
_cell_angle_alpha 90.00
_cell_angle_beta 90.00
_cell_angle_gamma 90.00
loop_
_space_group_symop_operation_xyz
'x,y,z'
loop_
_atom_site_label
_atom_site_type_symbol
_atom_site_fract_x
_atom_site_fract_y
_atom_site_fract_z
Cd1 Cd 0.0000 0.0000 0.5000
Cd2 Cd 0.0000 0.5000 0.0000
Cd3 Cd 0.5000 0.0000 0.0000
Fe1 Fe 0.5000 0.5000 0.5000
Cl1 Cl 0.0000 0.0000 0.0000
# - Calculated density: 4.81 g/cm3
# - Uncorrected formation energy: 0.954 eV/atom
# - Polymorph energy (0 for the lowest one): 3.16 eV per formula unit
# - V: 29.60 Å³/atom

=====

(5)
# CdFeCl4 (PBE, relaxed)
data_CdFeCl4
_space_group_name_H-M_alt 'P 1'
_space_group_IT_number 1
_cell_length_a 5.8284
_cell_length_b 5.8284
_cell_length_c 10.9750
_cell_angle_alpha 90.00
_cell_angle_beta 90.00
_cell_angle_gamma 90.00
loop_
_space_group_symop_operation_xyz
'x,y,z'
loop_
_atom_site_label
_atom_site_type_symbol
_atom_site_fract_x
_atom_site_fract_y
_atom_site_fract_z
Cd1 Cd 0.0000 0.0000 0.0000
Cd2 Cd 0.0000 0.0000 0.5000
Fe1 Fe 0.0000 0.5000 0.2500
Fe2 Fe 0.5000 0.0000 0.7500
Cl1 Cl 0.2293 0.2732 0.3697
Cl2 Cl 0.2293 0.7268 0.1303
Cl3 Cl 0.2732 0.2293 0.8697
Cl4 Cl 0.2732 0.7707 0.6303
Cl5 Cl 0.7268 0.2293 0.6303
Cl6 Cl 0.7268 0.7707 0.8697
Cl7 Cl 0.7707 0.2732 0.1303
Cl8 Cl 0.7707 0.7268 0.3697
# - Calculated density: 2.76 g/cm3
# - Uncorrected formation energy: -0.859 eV/atom
# - Polymorph energy (0 for the lowest one): 0.00 eV per formula unit
# - V: 31.07 Å³/atom

=====

(6)
# CdFeCl (PBE, relaxed)
data_CdFeCl
_space_group_name_H-M_alt 'P 1'
_space_group_IT_number 1
_cell_length_a 6.6293
_cell_length_b 6.6270
_cell_length_c 3.0537
_cell_angle_alpha 76.72
_cell_angle_beta 76.64
_cell_angle_gamma 26.64
loop_
_space_group_symop_operation_xyz
'x,y,z'
loop_
_atom_site_label
_atom_site_type_symbol
_atom_site_fract_x
_atom_site_fract_y
_atom_site_fract_z
Cd1 Cd 0.0000 0.0000 0.0000
Fe1 Fe 0.6490 0.6490 0.3510
Cl1 Cl 0.2588 0.2588 0.7412
# - Calculated density: 5.79 g/cm3
# - Uncorrected formation energy: 0.041 eV/atom
# - Polymorph energy (0 for the lowest one): 0.28 eV per formula unit
# - V: 19.48 Å³/atom

=====

(7)
# Cd2FeCl (PBE, relaxed)
data_Cd2FeCl
_space_group_name_H-M_alt 'P 1'
_space_group_IT_number 1
_cell_length_a 5.8340
_cell_length_b 5.8340
_cell_length_c 5.8340
_cell_angle_alpha 139.97
_cell_angle_beta 139.97
_cell_angle_gamma 57.91
loop_
_space_group_symop_operation_xyz
'x,y,z'
loop_
_atom_site_label
_atom_site_type_symbol
_atom_site_fract_x
_atom_site_fract_y
_atom_site_fract_z
Cd1 Cd 0.2500 0.7500 0.5000
Cd2 Cd 0.7500 0.2500 0.5000
Fe1 Fe 0.0000 0.0000 0.0000
Cl1 Cl 0.5000 0.5000 0.0000
# - Calculated density: 6.45 g/cm3
# - Uncorrected formation energy: 0.370 eV/atom
# - Polymorph energy (0 for the lowest one): 1.37 eV per formula unit
# - V: 20.36 Å³/atom

=====

(8)
# CdFeCl4 (PBE, relaxed)
data_CdFeCl4
_space_group_name_H-M_alt 'P 1'
_space_group_IT_number 1
_cell_length_a 6.8636
_cell_length_b 6.8636
_cell_length_c 6.8636
_cell_angle_alpha 129.41
_cell_angle_beta 129.41
_cell_angle_gamma 74.35
loop_
_space_group_symop_operation_xyz
'x,y,z'
loop_
_atom_site_label
_atom_site_type_symbol
_atom_site_fract_x
_atom_site_fract_y
_atom_site_fract_z
Cd1 Cd 0.0000 0.0000 0.0000
Fe1 Fe 0.7500 0.2500 0.5000
Cl1 Cl 0.0974 0.1442 0.5005
Cl2 Cl 0.4031 0.9026 0.0467
Cl3 Cl 0.6437 0.5969 0.4995
Cl4 Cl 0.8558 0.3563 0.9533
# - Calculated density: 2.74 g/cm3
# - Uncorrected formation energy: -0.856 eV/atom
# - Polymorph energy (0 for the lowest one): 0.02 eV per formula unit
# - V: 31.35 Å³/atom

=====

(9)
# CdFeCl2 (PBE, relaxed)
data_CdFeCl2
_space_group_name_H-M_alt 'P 1'
_space_group_IT_number 1
_cell_length_a 4.8328
_cell_length_b 4.8328
_cell_length_c 4.8328
_cell_angle_alpha 60.00
_cell_angle_beta 60.00
_cell_angle_gamma 60.00
loop_
_space_group_symop_operation_xyz
'x,y,z'
loop_
_atom_site_label
_atom_site_type_symbol
_atom_site_fract_x
_atom_site_fract_y
_atom_site_fract_z
Cd1 Cd 0.0000 0.0000 0.0000
Fe1 Fe 0.5000 0.5000 0.5000
Cl1 Cl 0.2500 0.2500 0.2500
Cl2 Cl 0.7500 0.7500 0.7500
# - Calculated density: 4.98 g/cm3
# - Uncorrected formation energy: 0.145 eV/atom
# - Polymorph energy (0 for the lowest one): 2.38 eV per formula unit
# - V: 19.95 Å³/atom

=====

(10)
# Cd2FeCl (PBE, relaxed)
data_Cd2FeCl
_space_group_name_H-M_alt 'P 1'
_space_group_IT_number 1
_cell_length_a 5.1592
_cell_length_b 5.1592
_cell_length_c 3.0285
_cell_angle_alpha 90.00
_cell_angle_beta 90.00
_cell_angle_gamma 90.00
loop_
_space_group_symop_operation_xyz
'x,y,z'
loop_
_atom_site_label
_atom_site_type_symbol
_atom_site_fract_x
_atom_site_fract_y
_atom_site_fract_z
Cd1 Cd 0.0000 0.5000 0.0000
Cd2 Cd 0.5000 0.0000 0.0000
Fe1 Fe 0.0000 0.0000 0.5000
Cl1 Cl 0.5000 0.5000 0.5000
# - Calculated density: 6.51 g/cm3
# - Uncorrected formation energy: 0.222 eV/atom
# - Polymorph energy (0 for the lowest one): 0.77 eV per formula unit
# - V: 20.15 Å³/atom

=====

(11)
# CdFeCl2 (PBE, relaxed)
data_CdFeCl2
_space_group_name_H-M_alt 'P 1'
_space_group_IT_number 1
_cell_length_a 4.9051
_cell_length_b 4.9051
_cell_length_c 4.9051
_cell_angle_alpha 60.00
_cell_angle_beta 60.00
_cell_angle_gamma 60.00
loop_
_space_group_symop_operation_xyz
'x,y,z'
loop_
_atom_site_label
_atom_site_type_symbol
_atom_site_fract_x
_atom_site_fract_y
_atom_site_fract_z
Cd1 Cd 0.0000 0.0000 0.0000
Fe1 Fe 0.7500 0.7500 0.7500
Cl1 Cl 0.2500 0.2500 0.2500
Cl2 Cl 0.5000 0.5000 0.5000
# - Calculated density: 4.76 g/cm3
# - Uncorrected formation energy: 0.388 eV/atom
# - Polymorph energy (0 for the lowest one): 3.36 eV per formula unit
# - V: 20.86 Å³/atom

=====

(12)
# CdFeCl2 (PBE, relaxed)
data_CdFeCl2
_space_group_name_H-M_alt 'P 1'
_space_group_IT_number 1
_cell_length_a 5.3995
_cell_length_b 5.3995
_cell_length_c 3.4153
_cell_angle_alpha 107.31
_cell_angle_beta 107.31
_cell_angle_gamma 104.15
loop_
_space_group_symop_operation_xyz
'x,y,z'
loop_
_atom_site_label
_atom_site_type_symbol
_atom_site_fract_x
_atom_site_fract_y
_atom_site_fract_z
Cd1 Cd 0.0000 0.0000 0.0000
Fe1 Fe 0.5000 0.5000 0.0000
Cl1 Cl 0.0000 0.5000 0.0000
Cl2 Cl 0.5000 0.0000 0.0000
# - Calculated density: 4.70 g/cm3
# - Uncorrected formation energy: 0.104 eV/atom
# - Polymorph energy (0 for the lowest one): 2.22 eV per formula unit
# - V: 21.12 Å³/atom